1.
An optimized crystal structure of GaReTc. Source: the Alexandria database, functional PBE-GGA.

Cell: 2.9808 2.9808 9.7856 Å, 90.00 90.00 90.00°
Space group I4mm (No. 107)
Asymmetric unit:
Ga (0.0000, 0.0000, 0.0000) [2 per cell]
Re (0.0000, 0.0000, 0.3300) [2 per cell]
Tc (0.0000, 0.0000, 0.6657) [2 per cell]

## Properties
Calculated total energy ... -52.32 eV per cell
Size of the total moment ... 0.000 μB/atom
Volume ... 14.491 Å³/atom
Formation energy from the elements ... -0.107 eV/atom


2.
An optimized crystal structure of GaReTc. Source: the Alexandria database, functional PBE-GGA.

Cell: 4.2799 4.2799 2.7914 Å, 90.00 90.00 120.00°
Space group P3m1 (No. 156)
Asymmetric unit:
Ga (0.0000, 0.0000, 0.0000) [1 per cell]
Re (0.6667, 0.3333, 0.5061) [1 per cell]
Tc (0.3333, 0.6667, 0.0086) [1 per cell]

## Properties
Calculated total energy ... -25.50 eV per cell
Size of the total moment ... 0.000 μB/atom
Volume ... 14.760 Å³/atom
Formation energy from the elements ... 0.112 eV/atom


3.
An optimized crystal structure of GaRe4Tc. Source: the Alexandria database, functional PBE-GGA.

Cell: 2.7767 4.5503 7.3249 Å, 90.00 90.00 90.00°
Space group Pmmm (No. 47)
Asymmetric unit:
Ga (0.0000, 0.0000, 0.0000) [1 per cell]
Re (0.0000, 0.5000, 0.1841) [2 per cell]
Re (0.5000, 0.0000, 0.3233) [2 per cell]
Tc (0.5000, 0.5000, 0.5000) [1 per cell]

## Properties
Calculated total energy ... -61.33 eV per cell
Size of the total moment ... 0.000 μB/atom
Volume ... 15.425 Å³/atom
Formation energy from the elements ... 0.310 eV/atom


no.,mass density (g cm⁻³)
1,13.52
2,13.27
3,16.37